# 1
V2NiPtBr PBE relaxed; formation energy (no corrections) = 0.924 eV/atom; symmetry = No. 123
1.0
4.494 0.000 0.000
0.000 4.494 0.000
0.000 0.000 4.241
V Ni Pt Br
2 1 1 1
Direct
0.000 0.500 0.000
0.500 0.000 0.000
0.000 0.000 0.500
0.500 0.500 0.500
0.000 0.000 0.000

# 2
PuNiBr2 PBE relaxed; formation energy (no corrections) = -0.171 eV/atom; symmetry = No. 166
1.0
3.680 0.000 0.000
-1.840 3.187 0.000
0.000 0.000 26.188
Pu Ni Br
3 3 6
Direct
0.000 0.000 0.000
0.333 0.667 0.667
0.667 0.333 0.333
0.000 0.000 0.500
0.333 0.667 0.167
0.667 0.333 0.833
0.000 0.000 0.111
0.000 0.000 0.889
0.333 0.667 0.555
0.333 0.667 0.778
0.667 0.333 0.222
0.667 0.333 0.445

# 3
RbNiBr5 PBE relaxed; formation energy (no corrections) = -0.541 eV/atom; symmetry = No. 44
1.0
7.922 0.000 0.000
0.000 8.545 0.000
0.000 0.000 7.344
Rb Ni Br
2 2 10
Direct
0.000 0.000 0.000
0.500 0.500 0.500
0.000 0.500 0.923
0.500 0.000 0.423
0.000 0.309 0.690
0.000 0.500 0.241
0.000 0.691 0.690
0.203 0.000 0.434
0.297 0.500 0.934
0.500 0.000 0.741
0.500 0.191 0.190
0.500 0.809 0.190
0.703 0.500 0.934
0.797 0.000 0.434

# 4
RbNiBr PBE relaxed; relative energy among the computed polymorphs = 5 meV per atom; formation energy (no corrections) = -0.423 eV/atom; symmetry = No. 1
1.0
4.371 0.000 0.000
1.538 4.092 0.000
1.058 1.756 10.089
Rb Ni Br
2 2 2
Direct
0.000 0.000 0.000
0.220 0.076 0.429
0.180 0.573 0.728
0.573 0.967 0.728
0.609 0.537 0.219
0.734 0.435 0.686

# 5
RbNiBr PBE relaxed; relative energy among the computed polymorphs = 29 meV per atom; formation energy (no corrections) = -0.399 eV/atom; symmetry = No. 38
1.0
4.364 0.000 0.000
0.000 5.272 0.000
0.000 0.000 16.740
Rb Ni Br
4 4 4
Direct
0.000 0.000 0.000
0.000 0.000 0.257
0.000 0.500 0.500
0.000 0.500 0.757
0.000 0.000 0.634
0.000 0.500 0.134
0.500 0.000 0.558
0.500 0.500 0.058
0.500 0.000 0.420
0.500 0.000 0.692
0.500 0.500 0.192
0.500 0.500 0.920

# 6
Rb2NiBr7 PBE relaxed; formation energy (no corrections) = -0.780 eV/atom; symmetry = No. 139
1.0
-3.775 3.775 5.789
3.775 -3.775 5.789
3.775 3.775 -5.789
Rb Ni Br
2 1 7
Direct
0.250 0.750 0.500
0.750 0.250 0.500
0.000 0.000 0.000
0.206 0.206 0.000
0.232 0.232 0.465
0.232 0.768 0.000
0.500 0.500 0.000
0.768 0.232 0.000
0.768 0.768 0.535
0.794 0.794 0.000

# 7
RbNiBr2 PBE relaxed; relative energy among the computed polymorphs = 89 meV per atom; formation energy (no corrections) = -0.690 eV/atom; symmetry = No. 166
1.0
5.385 0.000 0.000
-2.692 4.663 0.000
0.000 0.000 22.810
Rb Ni Br
3 3 6
Direct
0.000 0.000 0.000
0.333 0.667 0.667
0.667 0.333 0.333
0.000 0.000 0.500
0.333 0.667 0.167
0.667 0.333 0.833
0.000 0.000 0.402
0.000 0.000 0.598
0.333 0.667 0.068
0.333 0.667 0.265
0.667 0.333 0.735
0.667 0.333 0.932

# 8
RbNiBr4 PBE relaxed; formation energy (no corrections) = -0.726 eV/atom; symmetry = No. 15
1.0
4.941 -7.116 0.000
4.941 7.116 0.000
-0.111 0.000 6.659
Rb Ni Br
2 2 8
Direct
0.218 0.782 0.750
0.782 0.218 0.250
0.438 0.562 0.250
0.562 0.438 0.750
0.160 0.526 0.346
0.306 0.419 0.911
0.419 0.306 0.411
0.474 0.840 0.154
0.526 0.160 0.846
0.581 0.694 0.589
0.694 0.581 0.089
0.840 0.474 0.654

# 9
RbNiBr PBE relaxed; relative energy among the computed polymorphs = 13 meV per atom; formation energy (no corrections) = -0.415 eV/atom; symmetry = No. 44
1.0
5.123 0.000 0.000
0.000 10.119 0.000
0.000 0.000 7.590
Rb Ni Br
4 4 4
Direct
0.000 0.249 0.000
0.000 0.751 0.000
0.500 0.251 0.500
0.500 0.749 0.500
0.250 0.000 0.252
0.250 0.500 0.752
0.750 0.000 0.252
0.750 0.500 0.752
0.000 0.000 0.504
0.000 0.500 0.500
0.500 0.000 0.000
0.500 0.500 0.004

# 10
RbNiBr PBE relaxed; relative energy among the computed polymorphs = 23 meV per atom; formation energy (no corrections) = -0.405 eV/atom; symmetry = No. 8
1.0
8.510 0.000 0.000
0.000 3.853 0.000
-0.971 0.000 10.434
Rb Ni Br
4 4 4
Direct
0.000 0.000 0.000
0.154 0.500 0.428
0.500 0.500 0.000
0.654 0.000 0.428
0.013 0.000 0.684
0.334 0.000 0.691
0.513 0.500 0.684
0.834 0.500 0.691
0.179 0.500 0.758
0.325 0.000 0.205
0.679 0.000 0.758
0.825 0.500 0.205

# 11
RbNiBr PBE relaxed; relative energy among the computed polymorphs = 63 meV per atom; formation energy (no corrections) = -0.366 eV/atom; symmetry = No. 62
1.0
10.592 0.000 0.000
0.000 3.662 0.000
0.000 0.000 9.249
Rb Ni Br
4 4 4
Direct
0.219 0.250 0.003
0.281 0.750 0.503
0.719 0.250 0.497
0.781 0.750 0.997
0.014 0.250 0.587
0.486 0.750 0.087
0.514 0.250 0.913
0.986 0.750 0.413
0.036 0.750 0.760
0.464 0.250 0.260
0.536 0.750 0.740
0.964 0.250 0.240

# 12
RbNiBr PBE relaxed; relative energy among the computed polymorphs = 104 meV per atom; formation energy (no corrections) = -0.325 eV/atom; symmetry = No. 71
1.0
4.325 0.000 0.000
0.000 8.313 0.000
0.000 0.000 9.966
Rb Ni Br
4 4 4
Direct
0.000 0.000 0.223
0.000 0.000 0.777
0.500 0.500 0.277
0.500 0.500 0.723
0.000 0.346 0.000
0.000 0.654 0.000
0.500 0.154 0.500
0.500 0.846 0.500
0.000 0.248 0.500
0.000 0.752 0.500
0.500 0.252 0.000
0.500 0.748 0.000